Run 1
DFT (PBE) results for a relaxed structure of In3BiPb6.

Unit cell a=12.8714 b=3.4026 c=15.1655 alpha=90.00 beta=111.80 gamma=90.00
With the nearest neighbours (Å) after each atom.
Atoms (fractional coordinates):
In 0.0337 0.2500 0.4121  6 Pb 3.35-3.59, 6 In 3.40-3.53
In 0.1152 0.2500 0.9976  7 Pb 3.31-3.62, 4 In 3.40-3.44
In 0.2547 0.7500 0.3865  8 Pb 3.35-3.70, 4 In 3.40-3.46
In 0.7453 0.2500 0.6135  8 Pb 3.35-3.70, 4 In 3.40-3.46
In 0.8848 0.7500 0.0024  7 Pb 3.31-3.62, 4 In 3.40-3.44
In 0.9663 0.7500 0.5879  6 Pb 3.35-3.59, 6 In 3.40-3.53
Bi 0.4274 0.7500 0.8236  7 Pb 3.32-3.52, 2 Bi 3.40
Bi 0.5726 0.2500 0.1764  7 Pb 3.32-3.52, 2 Bi 3.40
Pb 0.0568 0.2500 0.1925  6 In 3.31-3.53, 5 Pb 3.40-3.56
Pb 0.1738 0.2500 0.7822  8 Pb 3.40-3.76, 2 Bi 3.52, 3 In 3.59-3.62
Pb 0.2312 0.7500 0.5991  4 In 3.35-3.47, 6 Pb 3.40-3.56, 1 Bi 3.40
Pb 0.3307 0.2500 0.2169  1 Bi 3.39, 7 Pb 3.40-3.66, 3 In 3.45-3.51
Pb 0.3498 0.7500 0.0094  3 Bi 3.32-3.48, 4 Pb 3.40-3.66, 2 In 3.41
Pb 0.4698 0.2500 0.5888  8 Pb 3.40-3.56, 3 In 3.43-3.70
Pb 0.5302 0.7500 0.4112  8 Pb 3.40-3.56, 3 In 3.43-3.70
Pb 0.6502 0.2500 0.9906  3 Bi 3.32-3.48, 4 Pb 3.40-3.66, 2 In 3.41
Pb 0.6693 0.7500 0.7831  1 Bi 3.39, 7 Pb 3.40-3.66, 3 In 3.45-3.51
Pb 0.7688 0.2500 0.4009  4 In 3.35-3.47, 6 Pb 3.40-3.56, 1 Bi 3.40
Pb 0.8262 0.7500 0.2178  8 Pb 3.40-3.76, 2 Bi 3.52, 3 In 3.59-3.62
Pb 0.9432 0.7500 0.8075  6 In 3.31-3.53, 5 Pb 3.40-3.56



Run 2
DFT (PBE) results for a relaxed structure of In3BiPb6.

Unit cell a=9.8615 b=9.8615 c=6.8223 alpha=90.00 beta=90.00 gamma=107.03
With the nearest neighbours (Å) after each atom.
Atoms (fractional coordinates):
In 0.0446 0.9554 0.5000  3 Pb 3.14-3.24, 1 Bi 3.23
In 0.2318 0.5078 0.6471  1 In 3.05, 4 Pb 3.14-3.33, 1 Bi 3.39
In 0.4922 0.7682 0.6471  1 In 3.05, 4 Pb 3.14-3.33, 1 Bi 3.39
In 0.5078 0.2318 0.1471  1 In 3.05, 4 Pb 3.14-3.33, 1 Bi 3.39
In 0.7682 0.4922 0.1471  1 In 3.05, 4 Pb 3.14-3.33, 1 Bi 3.39
In 0.9554 0.0446 0.0000  3 Pb 3.14-3.24, 1 Bi 3.23
Bi 0.2330 0.7670 0.3196  3 In 3.23-3.39, 3 Pb 3.29
Bi 0.7670 0.2330 0.8196  3 In 3.23-3.39, 3 Pb 3.29
Pb 0.0777 0.4734 0.0799  2 In 3.14-3.29, 1 Bi 3.29, 2 Pb 3.31-3.51
Pb 0.1821 0.8179 0.8514  3 In 3.24-3.52, 1 Bi 3.29, 2 Pb 3.60
Pb 0.2079 0.2591 0.3431  3 In 3.14-3.33, 3 Pb 3.31-3.51
Pb 0.2591 0.2079 0.8431  3 In 3.14-3.33, 3 Pb 3.31-3.51
Pb 0.4486 0.5514 0.0581  4 In 3.42-3.48, 8 Pb 3.51-3.78
Pb 0.4734 0.0777 0.5799  2 In 3.14-3.29, 1 Bi 3.29, 2 Pb 3.31-3.51
Pb 0.5266 0.9223 0.0799  2 In 3.14-3.29, 1 Bi 3.29, 2 Pb 3.31-3.51
Pb 0.5514 0.4486 0.5581  4 In 3.42-3.48, 8 Pb 3.51-3.78
Pb 0.7409 0.7921 0.3431  3 In 3.14-3.33, 3 Pb 3.31-3.51
Pb 0.7921 0.7409 0.8431  3 In 3.14-3.33, 3 Pb 3.31-3.51
Pb 0.8179 0.1821 0.3514  3 In 3.24-3.52, 1 Bi 3.29, 2 Pb 3.60
Pb 0.9223 0.5266 0.5799  2 In 3.14-3.29, 1 Bi 3.29, 2 Pb 3.31-3.51



Calculated relative energies: run 1 0; run 2 21, given in meV per atom



Run 1
DFT (PBE) results for a relaxed structure of InBi3Pb3.

Unit cell a=7.3730 b=7.3730 c=9.3014 alpha=90.12 beta=90.12 gamma=105.20
With the nearest neighbours (Å) after each atom.
Atoms (fractional coordinates):
In 0.1565 0.1565 0.3970  4 Bi 3.11-3.30, 1 In 3.40, 2 Pb 3.40
In 0.8435 0.8435 0.6030  4 Bi 3.11-3.30, 1 In 3.40, 2 Pb 3.40
Bi 0.0352 0.4799 0.2308  1 In 3.16, 5 Pb 3.25-3.43, 1 Bi 3.31
Bi 0.1880 0.1880 0.7299  2 In 3.11-3.30, 1 Pb 3.24, 2 Bi 3.31
Bi 0.4799 0.0352 0.2308  1 In 3.16, 5 Pb 3.25-3.43, 1 Bi 3.31
Bi 0.5201 0.9648 0.7692  1 In 3.16, 5 Pb 3.25-3.43, 1 Bi 3.31
Bi 0.8120 0.8120 0.2701  2 In 3.11-3.30, 1 Pb 3.24, 2 Bi 3.31
Bi 0.9648 0.5201 0.7692  1 In 3.16, 5 Pb 3.25-3.43, 1 Bi 3.31
Pb 0.1490 0.8510 0.0000  6 Bi 3.26-3.50, 1 Pb 3.49
Pb 0.2516 0.7484 0.5000  4 Bi 3.32-3.43, 2 In 3.40
Pb 0.4650 0.4650 0.1688  1 Pb 3.20, 3 Bi 3.24-3.25, 1 In 3.49
Pb 0.5350 0.5350 0.8312  1 Pb 3.20, 3 Bi 3.24-3.25, 1 In 3.49
Pb 0.7484 0.2516 0.5000  4 Bi 3.32-3.43, 2 In 3.40
Pb 0.8510 0.1490 0.0000  6 Bi 3.26-3.50, 1 Pb 3.49



Run 2
DFT (PBE) results for a relaxed structure of InBi3Pb3.

Unit cell a=8.7745 b=8.7745 c=8.7745 alpha=90.00 beta=90.00 gamma=90.00
With the nearest neighbours (Å) after each atom.
Atoms (fractional coordinates):
In 0.0000 0.0000 0.0000  12 Pb 4.91, 12 Bi 4.91
In 0.5000 0.5000 0.5000  12 Pb 4.91, 12 Bi 4.91
Bi 0.0000 0.2500 0.5000  4 Pb 3.10
Bi 0.0000 0.7500 0.5000  4 Pb 3.10
Bi 0.2500 0.5000 0.0000  4 Pb 3.10
Bi 0.5000 0.0000 0.2500  4 Pb 3.10
Bi 0.5000 0.0000 0.7500  4 Pb 3.10
Bi 0.7500 0.5000 0.0000  4 Pb 3.10
Pb 0.0000 0.5000 0.2500  4 Bi 3.10
Pb 0.0000 0.5000 0.7500  4 Bi 3.10
Pb 0.2500 0.0000 0.5000  4 Bi 3.10
Pb 0.5000 0.2500 0.0000  4 Bi 3.10
Pb 0.5000 0.7500 0.0000  4 Bi 3.10
Pb 0.7500 0.0000 0.5000  4 Bi 3.10



Run 3
DFT (PBE) results for a relaxed structure of InBi3Pb3.

Unit cell a=7.8911 b=7.8911 c=7.8911 alpha=73.22 beta=73.22 gamma=73.22
With the nearest neighbours (Å) after each atom.
Atoms (fractional coordinates):
In 0.2470 0.2470 0.2470  6 Bi 3.48-3.50, 6 Pb 3.55
In 0.7530 0.7530 0.7530  6 Bi 3.48-3.50, 6 Pb 3.55
Bi 0.0338 0.8921 0.3315  5 Bi 3.40-3.66, 2 In 3.48-3.50, 5 Pb 3.49-3.57
Bi 0.1079 0.6685 0.9662  5 Bi 3.40-3.66, 2 In 3.48-3.50, 5 Pb 3.49-3.57
Bi 0.3315 0.0338 0.8921  5 Bi 3.40-3.66, 2 In 3.48-3.50, 5 Pb 3.49-3.57
Bi 0.6685 0.9662 0.1079  5 Bi 3.40-3.66, 2 In 3.48-3.50, 5 Pb 3.49-3.57
Bi 0.8921 0.3315 0.0338  5 Bi 3.40-3.66, 2 In 3.48-3.50, 5 Pb 3.49-3.57
Bi 0.9662 0.1079 0.6685  5 Bi 3.40-3.66, 2 In 3.48-3.50, 5 Pb 3.49-3.57
Pb 0.1752 0.4614 0.6078  5 Pb 3.47-3.59, 5 Bi 3.49-3.57, 2 In 3.55
Pb 0.3922 0.8248 0.5386  5 Pb 3.47-3.59, 5 Bi 3.49-3.57, 2 In 3.55
Pb 0.4614 0.6078 0.1752  5 Pb 3.47-3.59, 5 Bi 3.49-3.57, 2 In 3.55
Pb 0.5386 0.3922 0.8248  5 Pb 3.47-3.59, 5 Bi 3.49-3.57, 2 In 3.55
Pb 0.6078 0.1752 0.4614  5 Pb 3.47-3.59, 5 Bi 3.49-3.57, 2 In 3.55
Pb 0.8248 0.5386 0.3922  5 Pb 3.47-3.59, 5 Bi 3.49-3.57, 2 In 3.55



Calculated relative energies: run 1 31; run 2 298; run 3 0, given in meV per atom